[1]
# CrInSnCl5 GGA-PBE relaxed
# * raw formation energy: -0.877 eV/atom
data_CrInSnCl5
_cell_length_a 8.2769
_cell_length_b 12.8204
_cell_length_c 10.3503
_cell_angle_alpha 90.00
_cell_angle_beta 112.29
_cell_angle_gamma 90.00
_symmetry_space_group_name_H-M 'C 1 2/c 1'
_symmetry_Int_Tables_number 15
_symmetry_space_group_name_Hall '-C 2yc'
loop_
_atom_site_label
_atom_site_fract_x
_atom_site_fract_y
_atom_site_fract_z
Cr1 0.0000 0.1701 0.2500
In1 0.0000 0.1743 0.7500
Sn1 0.0000 0.5000 0.0000
Cl1 0.0000 0.4149 0.7500
Cl2 0.0669 0.2874 0.1014
Cl3 0.1366 0.0468 0.4235



[2]
# Ta2CrOs GGA-PBE relaxed
# * energy of formation: -56 meV/atom
data_Ta2CrOs
_cell_length_a 2.8147
_cell_length_b 4.3069
_cell_length_c 5.2281
_cell_angle_alpha 90.00
_cell_angle_beta 99.68
_cell_angle_gamma 90.00
_symmetry_space_group_name_H-M 'P 1 2/m 1'
_symmetry_Int_Tables_number 10
_symmetry_space_group_name_Hall '-P 2y'
loop_
_atom_site_label
_atom_site_fract_x
_atom_site_fract_y
_atom_site_fract_z
Ta1 0.2391 0.0000 0.2546
Cr1 0.0000 0.5000 0.5000
Os1 0.5000 0.5000 0.0000



[3]
# Sr2LiIn6Ir GGA-PBE relaxed
# * energy of formation: -184 meV/atom
data_Sr2LiIn6Ir
_cell_length_a 10.2758
_cell_length_b 10.2950
_cell_length_c 7.2790
_cell_angle_alpha 90.00
_cell_angle_beta 134.66
_cell_angle_gamma 90.00
_symmetry_space_group_name_H-M 'C 1 2/m 1'
_symmetry_Int_Tables_number 12
_symmetry_space_group_name_Hall '-C 2y'
loop_
_atom_site_label
_atom_site_fract_x
_atom_site_fract_y
_atom_site_fract_z
Sr1 0.0000 0.2505 0.0000
Li1 0.0000 0.0000 0.5000
In1 0.0000 0.2431 0.5000
In2 0.2425 0.0000 0.4996
In3 0.2433 0.0000 0.9868
Ir1 0.0000 0.5000 0.5000



[4]
# Ac3Sn3Au8 GGA-PBE relaxed
# * energy of formation: -651 meV/atom
data_Ac3Sn3Au8
_cell_length_a 17.3611
_cell_length_b 4.8690
_cell_length_c 9.6946
_cell_angle_alpha 90.00
_cell_angle_beta 123.01
_cell_angle_gamma 90.00
_symmetry_space_group_name_H-M 'C 1 2/m 1'
_symmetry_Int_Tables_number 12
_symmetry_space_group_name_Hall '-C 2y'
loop_
_atom_site_label
_atom_site_fract_x
_atom_site_fract_y
_atom_site_fract_z
Ac1 0.0000 0.0000 0.0000
Ac2 0.1991 0.5000 0.7226
Sn1 0.0000 0.0000 0.5000
Sn2 0.1674 0.5000 0.3159
Au1 0.0054 0.5000 0.3208
Au2 0.1322 0.0000 0.8553
Au3 0.1411 0.0000 0.4263
Au4 0.1477 0.5000 0.0180



[5]
# CaCeSmAl GGA-PBE relaxed
# * energy of formation: 24 meV/atom
data_CaCeSmAl
_cell_length_a 7.7305
_cell_length_b 7.7305
_cell_length_c 7.7305
_cell_angle_alpha 90.00
_cell_angle_beta 90.00
_cell_angle_gamma 90.00
_symmetry_space_group_name_H-M 'F -4 3 m'
_symmetry_Int_Tables_number 216
_symmetry_space_group_name_Hall 'F -4 2 3'
loop_
_atom_site_label
_atom_site_fract_x
_atom_site_fract_y
_atom_site_fract_z
Ca1 0.0000 0.0000 0.0000
Ce1 0.2500 0.2500 0.7500
Sm1 0.2500 0.2500 0.2500
Al1 0.0000 0.0000 0.5000



[6]
# AlMo2Pt2 GGA-PBE relaxed
# * energy of formation: 59 meV/atom
data_AlMo2Pt2
_cell_length_a 7.8598
_cell_length_b 7.8598
_cell_length_c 2.7537
_cell_angle_alpha 90.00
_cell_angle_beta 90.00
_cell_angle_gamma 90.00
_symmetry_space_group_name_H-M 'P 4/m b m'
_symmetry_Int_Tables_number 127
_symmetry_space_group_name_Hall '-P 4 2ab'
loop_
_atom_site_label
_atom_site_fract_x
_atom_site_fract_y
_atom_site_fract_z
Al1 0.0000 0.0000 0.0000
Mo1 0.1225 0.3775 0.0000
Pt1 0.1685 0.6685 0.5000



[7]
# Cs2RbPb GGA-PBE relaxed
# * energy of formation: 67 meV/atom
data_Cs2RbPb
_cell_length_a 6.2198
_cell_length_b 6.2198
_cell_length_c 6.2430
_cell_angle_alpha 90.00
_cell_angle_beta 90.00
_cell_angle_gamma 90.00
_symmetry_space_group_name_H-M 'P 4/m m m'
_symmetry_Int_Tables_number 123
_symmetry_space_group_name_Hall '-P 4 2'
loop_
_atom_site_label
_atom_site_fract_x
_atom_site_fract_y
_atom_site_fract_z
Cs1 0.0000 0.5000 0.0000
Rb1 0.0000 0.0000 0.5000
Pb1 0.5000 0.5000 0.5000



[8]
# PaCrOs2 GGA-PBE relaxed
# * energy of formation: -53 meV/atom
data_PaCrOs2
_cell_length_a 4.2611
_cell_length_b 4.2611
_cell_length_c 3.7722
_cell_angle_alpha 90.00
_cell_angle_beta 90.00
_cell_angle_gamma 90.00
_symmetry_space_group_name_H-M 'P 4/m m m'
_symmetry_Int_Tables_number 123
_symmetry_space_group_name_Hall '-P 4 2'
loop_
_atom_site_label
_atom_site_fract_x
_atom_site_fract_y
_atom_site_fract_z
Pa1 0.0000 0.0000 0.0000
Cr1 0.5000 0.5000 0.0000
Os1 0.0000 0.5000 0.5000



[9]
# In12GePb6 GGA-PBE relaxed
# * energy of formation: 77 meV/atom
data_In12GePb6
_cell_length_a 12.9945
_cell_length_b 12.9945
_cell_length_c 11.5934
_cell_angle_alpha 90.00
_cell_angle_beta 90.00
_cell_angle_gamma 120.00
_symmetry_space_group_name_H-M 'R -3'
_symmetry_Int_Tables_number 148
_symmetry_space_group_name_Hall '-R 3'
loop_
_atom_site_label
_atom_site_fract_x
_atom_site_fract_y
_atom_site_fract_z
In1 0.0536 0.7958 0.0496
In2 0.0835 0.8474 0.4314
Ge1 0.0000 0.0000 0.0000
Pb1 0.0446 0.8609 0.7714



[10]
# NiPtN3 GGA-PBE relaxed
# * raw formation energy: 1.906 eV/atom
data_NiPtN3
_cell_length_a 3.6750
_cell_length_b 3.6750
_cell_length_c 3.6750
_cell_angle_alpha 90.00
_cell_angle_beta 90.00
_cell_angle_gamma 90.00
_symmetry_space_group_name_H-M 'P m -3 m'
_symmetry_Int_Tables_number 221
_symmetry_space_group_name_Hall '-P 4 2 3'
loop_
_atom_site_label
_atom_site_fract_x
_atom_site_fract_y
_atom_site_fract_z
Ni1 0.0000 0.0000 0.0000
Pt1 0.5000 0.5000 0.5000
N1 0.0000 0.0000 0.5000



[11]
# LaMn2Ru GGA-PBE relaxed
# * energy of formation: 203 meV/atom
data_LaMn2Ru
_cell_length_a 4.1342
_cell_length_b 4.1342
_cell_length_c 15.7021
_cell_angle_alpha 90.00
_cell_angle_beta 90.00
_cell_angle_gamma 120.00
_symmetry_space_group_name_H-M 'R -3 m'
_symmetry_Int_Tables_number 166
_symmetry_space_group_name_Hall '-R 3 2"'
loop_
_atom_site_label
_atom_site_fract_x
_atom_site_fract_y
_atom_site_fract_z
La1 0.0000 0.0000 0.0000
Mn1 0.0000 0.0000 0.1890
Ru1 0.0000 0.0000 0.5000



[12]
# LaPm3Pr4Se8 GGA-PBE relaxed
# * raw formation energy: -1.857 eV/atom
data_LaPm3Pr4Se8
_cell_length_a 8.4877
_cell_length_b 8.4877
_cell_length_c 20.8462
_cell_angle_alpha 90.00
_cell_angle_beta 90.00
_cell_angle_gamma 120.00
_symmetry_space_group_name_H-M 'R -3 m'
_symmetry_Int_Tables_number 166
_symmetry_space_group_name_Hall '-R 3 2"'
loop_
_atom_site_label
_atom_site_fract_x
_atom_site_fract_y
_atom_site_fract_z
La1 0.0000 0.0000 0.0000
Pm1 0.0000 0.5000 0.0000
Pr1 0.0000 0.0000 0.5000
Pr2 0.0000 0.5000 0.5000
Se1 0.0000 0.0000 0.2521
Se2 0.0032 0.5016 0.2513



[13]
# MgCuNF2 GGA-PBE relaxed
# * raw formation energy: -0.834 eV/atom
data_MgCuNF2
_cell_length_a 3.6344
_cell_length_b 3.6344
_cell_length_c 4.9802
_cell_angle_alpha 90.00
_cell_angle_beta 90.00
_cell_angle_gamma 90.00
_symmetry_space_group_name_H-M 'P 4/m m m'
_symmetry_Int_Tables_number 123
_symmetry_space_group_name_Hall '-P 4 2'
loop_
_atom_site_label
_atom_site_fract_x
_atom_site_fract_y
_atom_site_fract_z
Mg1 0.0000 0.0000 0.0000
Cu1 0.5000 0.5000 0.5000
N1 0.0000 0.0000 0.5000
F1 0.0000 0.5000 0.0000



[14]
# CsYMgCl6 GGA-PBE relaxed
# * raw formation energy: -2.119 eV/atom
data_CsYMgCl6
_cell_length_a 6.8129
_cell_length_b 6.8129
_cell_length_c 7.8067
_cell_angle_alpha 90.00
_cell_angle_beta 90.00
_cell_angle_gamma 120.00
_symmetry_space_group_name_H-M 'P 3 1 2'
_symmetry_Int_Tables_number 149
_symmetry_space_group_name_Hall 'P 3 2'
loop_
_atom_site_label
_atom_site_fract_x
_atom_site_fract_y
_atom_site_fract_z
Cs1 0.0000 0.0000 0.0000
Y1 0.6667 0.3333 0.5000
Mg1 0.3333 0.6667 0.5000
Cl1 0.0131 0.3852 0.6907



[15]
# Na3B4C2 GGA-PBE relaxed
# * energy of formation: 131 meV/atom
data_Na3B4C2
_cell_length_a 4.9940
_cell_length_b 4.9940
_cell_length_c 8.5305
_cell_angle_alpha 90.00
_cell_angle_beta 90.00
_cell_angle_gamma 120.00
_symmetry_space_group_name_H-M 'P -6 2 m'
_symmetry_Int_Tables_number 189
_symmetry_space_group_name_Hall 'P -6 -2'
loop_
_atom_site_label
_atom_site_fract_x
_atom_site_fract_y
_atom_site_fract_z
Na1 0.0000 0.6675 0.2471
B1 0.0000 0.0000 0.0000
B2 0.0000 0.3184 0.5000
B3 0.3333 0.6667 0.0000
B4 0.3333 0.6667 0.5000
C1 0.0000 0.0000 0.5000
C2 0.0000 0.3334 0.0000



[16]
# Ce3SnP4 GGA-PBE relaxed
# * energy of formation: -1053 meV/atom
data_Ce3SnP4
_cell_length_a 5.7877
_cell_length_b 5.7877
_cell_length_c 5.7877
_cell_angle_alpha 90.00
_cell_angle_beta 90.00
_cell_angle_gamma 90.00
_symmetry_space_group_name_H-M 'P m -3 m'
_symmetry_Int_Tables_number 221
_symmetry_space_group_name_Hall '-P 4 2 3'
loop_
_atom_site_label
_atom_site_fract_x
_atom_site_fract_y
_atom_site_fract_z
Ce1 0.0000 0.0000 0.5000
Sn1 0.5000 0.5000 0.5000
P1 0.0000 0.0000 0.0000
P2 0.0000 0.5000 0.5000



[17]
# Pa3BSb GGA-PBE relaxed
# * raw formation energy: -0.223 eV/atom
data_Pa3BSb
_cell_length_a 4.8636
_cell_length_b 4.8636
_cell_length_c 4.8636
_cell_angle_alpha 90.00
_cell_angle_beta 90.00
_cell_angle_gamma 90.00
_symmetry_space_group_name_H-M 'P m -3 m'
_symmetry_Int_Tables_number 221
_symmetry_space_group_name_Hall '-P 4 2 3'
loop_
_atom_site_label
_atom_site_fract_x
_atom_site_fract_y
_atom_site_fract_z
Pa1 0.0000 0.0000 0.5000
B1 0.0000 0.0000 0.0000
Sb1 0.5000 0.5000 0.5000



[18]
# Cs4TbCe3Se8 GGA-PBE relaxed
# * raw formation energy: -1.679 eV/atom
data_Cs4TbCe3Se8
_cell_length_a 8.8057
_cell_length_b 8.8057
_cell_length_c 25.1148
_cell_angle_alpha 90.00
_cell_angle_beta 90.00
_cell_angle_gamma 120.00
_symmetry_space_group_name_H-M 'R -3 m'
_symmetry_Int_Tables_number 166
_symmetry_space_group_name_Hall '-R 3 2"'
loop_
_atom_site_label
_atom_site_fract_x
_atom_site_fract_y
_atom_site_fract_z
Cs1 0.0000 0.0000 0.0000
Cs2 0.0000 0.5000 0.0000
Tb1 0.0000 0.0000 0.5000
Ce1 0.0000 0.5000 0.5000
Se1 0.0000 0.0000 0.2299
Se2 0.0066 0.5033 0.2292



[19]
# LaZnPb2 GGA-PBE relaxed
# * energy of formation: -46 meV/atom
data_LaZnPb2
_cell_length_a 3.6124
_cell_length_b 3.6124
_cell_length_c 30.3071
_cell_angle_alpha 90.00
_cell_angle_beta 90.00
_cell_angle_gamma 120.00
_symmetry_space_group_name_H-M 'R -3 m'
_symmetry_Int_Tables_number 166
_symmetry_space_group_name_Hall '-R 3 2"'
loop_
_atom_site_label
_atom_site_fract_x
_atom_site_fract_y
_atom_site_fract_z
La1 0.0000 0.0000 0.0000
Zn1 0.0000 0.0000 0.5000
Pb1 0.0000 0.0000 0.2391



[20]
# InCBr GGA-PBE relaxed
# * raw formation energy: 0.200 eV/atom
data_InCBr
_cell_length_a 10.2775
_cell_length_b 5.4950
_cell_length_c 6.7687
_cell_angle_alpha 90.00
_cell_angle_beta 114.92
_cell_angle_gamma 90.00
_symmetry_space_group_name_H-M 'C 1 m 1'
_symmetry_Int_Tables_number 8
_symmetry_space_group_name_Hall 'C -2y'
loop_
_atom_site_label
_atom_site_fract_x
_atom_site_fract_y
_atom_site_fract_z
In1 0.0000 0.0000 0.0000
In2 0.1884 0.0000 0.7874
C1 0.4464 0.1142 0.0280
Br1 0.1821 0.5000 0.6989
Br2 0.2318 0.0000 0.4081